Below is a geometry-optimized DyNp2O7 structure, with properties calculated at the GGA-PBE level.

V (Å³/atom): 12.80
Raw formation energy (eV/atom): -3.001
Symmetry: R-3m

abc: 3.8105 3.8105 10.4171
angles: 79.46 79.46 60.00
Fractional positions:
O 0.0000 0.0000 0.0000
O 0.2801 0.2801 0.1596
O 0.5774 0.5774 0.2679
O 0.1379 0.1379 0.5862
O 0.4226 0.4226 0.7321
O 0.7199 0.7199 0.8404
O 0.8621 0.8621 0.4138
Np 0.0675 0.0675 0.7975
Dy 0.5000 0.5000 0.5000
Np 0.9325 0.9325 0.2025